(1)
# ScHgW2

A relaxed ScHgW2 crystal (PBE, the Alexandria database).

a b c (Å): 2.7972 2.7972 9.3671
angles (deg): 90.00 90.00 90.00
Last column: nearest neighbours and their distance in Å.
Atoms (fractional coordinates):
Sc1 0.0000 0.0000 0.0000  4 Sc 2.80, 8 W 3.08
Hg1 0.0000 0.0000 0.5000  4 Hg 2.80, 8 W 3.05
W1 0.5000 0.5000 0.2525  4 W 2.80, 4 Hg 3.05, 4 Sc 3.08
W2 0.5000 0.5000 0.7475  4 W 2.80, 4 Hg 3.05, 4 Sc 3.08

Output
* formation energy from the elements: 526 meV/atom
* spin magnetization: 0.0 μB per formula unit

(2)
# ScHgW2

A relaxed ScHgW2 crystal (PBE, the Alexandria database).

a b c (Å): 9.9158 9.9158 9.9158
angles (deg): 17.16 17.16 17.16
Last column: nearest neighbours and their distance in Å.
Atoms (fractional coordinates):
Sc1 0.0000 0.0000 0.0000  6 Sc 2.96, 6 W 2.98
Hg1 0.5000 0.5000 0.5000  6 Hg 2.96, 6 W 2.98
W1 0.2499 0.2499 0.2499  6 W 2.96, 3 Hg 2.98, 3 Sc 2.98
W2 0.7501 0.7501 0.7501  6 W 2.96, 3 Hg 2.98, 3 Sc 2.98

Output
* formation energy from the elements: 622 meV/atom
* spin magnetization: 0.0 μB per formula unit

(3)
# ScHg2W

A relaxed ScHg2W crystal (PBE, the Alexandria database).

a b c (Å): 2.9470 2.9470 9.2113
angles (deg): 90.00 90.00 90.00
Last column: nearest neighbours and their distance in Å.
Atoms (fractional coordinates):
Sc1 0.0000 0.0000 0.0000  4 Sc 2.95, 4 W 2.98, 4 Hg 3.14
Hg1 0.0000 0.0000 0.4730  8 Hg 2.95-3.26, 4 W 3.05
Hg2 0.5000 0.5000 0.7449  8 Hg 2.95-3.26, 4 Sc 3.14
W1 0.5000 0.5000 0.2309  4 W 2.95, 4 Sc 2.98, 4 Hg 3.05

Output
* formation energy from the elements: 260 meV/atom
* spin magnetization: 0.0 μB per formula unit

(4)
# Sc2HgW

A relaxed Sc2HgW crystal (PBE, the Alexandria database).

a b c (Å): 3.1395 3.4679 7.4110
angles (deg): 90.00 90.00 90.00
Last column: nearest neighbours and their distance in Å.
Atoms (fractional coordinates):
Sc1 0.0000 0.0000 0.2266  4 W 2.88, 4 Hg 3.09, 2 Sc 3.14
Sc2 0.0000 0.0000 0.7734  4 W 2.88, 4 Hg 3.09, 2 Sc 3.14
Hg1 0.5000 0.5000 0.5000  8 Sc 3.09, 2 Hg 3.14
W1 0.5000 0.5000 0.0000  8 Sc 2.88, 2 W 3.14

Output
* formation energy from the elements: -20 meV/atom
* spin magnetization: 0.0 μB per formula unit

(5)
# ScHgW2

A relaxed ScHgW2 crystal (PBE, the Alexandria database).

a b c (Å): 6.0874 6.0874 6.0874
angles (deg): 101.30 101.30 127.45
Last column: nearest neighbours and their distance in Å.
Atoms (fractional coordinates):
Sc1 0.0000 0.0000 0.0000  2 Hg 2.69, 4 W 2.89
Sc2 0.7500 0.2500 0.5000  2 Hg 2.69, 4 W 2.89
Hg1 0.2500 0.7500 0.5000  2 Sc 2.69, 4 W 2.73
Hg2 0.5000 0.5000 0.0000  2 Sc 2.69, 4 W 2.73
W1 0.1406 0.6250 0.0156  2 W 2.71, 2 Hg 2.73, 2 Sc 2.89
W2 0.3750 0.3906 0.5156  2 W 2.71, 2 Hg 2.73, 2 Sc 2.89
W3 0.6094 0.1250 0.9844  2 W 2.71, 2 Hg 2.73, 2 Sc 2.89
W4 0.8750 0.8594 0.4844  2 W 2.71, 2 Hg 2.73, 2 Sc 2.89

Output
* formation energy from the elements: 1149 meV/atom
* spin magnetization: 0.0 μB per formula unit

(6)
# Sc2HgW

A relaxed Sc2HgW crystal (PBE, the Alexandria database).

a b c (Å): 5.3822 5.3822 5.2786
angles (deg): 98.74 98.74 32.36
Last column: nearest neighbours and their distance in Å.
Atoms (fractional coordinates):
Sc1 0.0000 0.0000 0.0000  3 Hg 2.92-2.99, 4 W 2.99-3.10, 3 Sc 3.00-3.09
Sc2 0.2158 0.2158 0.6563  3 W 2.91, 4 Hg 2.98-3.13, 3 Sc 3.00-3.09
Hg1 0.7477 0.7477 0.1827  7 Sc 2.92-3.13, 2 Hg 3.00, 2 W 3.06
W1 0.4747 0.4747 0.5045  7 Sc 2.91-3.10, 2 W 3.00, 2 Hg 3.06

Output
* formation energy from the elements: 132 meV/atom
* spin magnetization: 0.0 μB per formula unit

(7)
# ScHg2W

A relaxed ScHg2W crystal (PBE, the Alexandria database).

a b c (Å): 5.2014 5.2014 5.2014
angles (deg): 131.37 131.37 71.23
Last column: nearest neighbours and their distance in Å.
Atoms (fractional coordinates):
Sc1 0.0000 0.0000 0.0000  8 Hg 3.01, 4 W 3.03
Hg1 0.2500 0.7500 0.5000  4 W 3.01, 4 Sc 3.01, 4 Hg 3.03
Hg2 0.7500 0.2500 0.5000  4 W 3.01, 4 Sc 3.01, 4 Hg 3.03
W1 0.5000 0.5000 0.0000  8 Hg 3.01, 4 Sc 3.03

Output
* formation energy from the elements: 353 meV/atom
* spin magnetization: 0.5 μB per formula unit

(8)
# ScHg2W

A relaxed ScHg2W crystal (PBE, the Alexandria database).

a b c (Å): 4.8516 4.8516 4.8516
angles (deg): 60.00 60.00 60.00
Last column: nearest neighbours and their distance in Å.
Atoms (fractional coordinates):
Sc1 0.0000 0.0000 0.0000  4 W 2.97, 4 Hg 2.97
Hg1 0.2500 0.2500 0.2500  4 Hg 2.97, 4 Sc 2.97
Hg2 0.5000 0.5000 0.5000  4 W 2.97, 4 Hg 2.97
W1 0.7500 0.7500 0.7500  4 Hg 2.97, 4 Sc 2.97

Output
* formation energy from the elements: 684 meV/atom
* spin magnetization: 1.3 μB per formula unit